A geometry-optimized LiBe2PbW structure, computed with GGA-PBE.

Calculated values
magnetic moment = 1.6 μB per formula unit
energy of formation = 1476.0 meV/atom

Cell lengths 4.230, 4.230, 4.429 Å; angles 90.00, 90.00, 90.00 degrees
Space group P4/mmm (No. 123)
Symmetry-distinct sites (fractional):
Li 0.000 0.000 0.000 x1
Be 0.000 0.500 0.000 x2
Pb 0.000 0.000 0.500 x1
W 0.500 0.500 0.500 x1